1.
# H2AuI3 PBE optimized geometry
# M_tot = 0.000 μB/atom
# N(E_F) = 0.00 states/eV per cell
# uncorrected energy = -2.403 eV per atom
# ρ = 4621 kg/m3
# volume = 208.3 Å³/f.u.
data_H2AuI3
_chemical_formula_sum 'H4 Au2 I6'
_cell_length_a 4.6682
_cell_length_b 6.8159
_cell_length_c 13.9072
_cell_angle_alpha 89.80
_cell_angle_beta 89.41
_cell_angle_gamma 70.31
_symmetry_space_group_name_H-M 'P -1'
_symmetry_Int_Tables_number 2
_symmetry_space_group_name_Hall '-P 1'
loop_
_atom_site_label
_atom_site_fract_x
_atom_site_fract_y
_atom_site_fract_z
_atom_site_occupancy
H1 0.0279 0.4375 0.3537 1
H2 0.0328 0.4369 0.1461 1
Au1 0.2663 0.9603 0.2503 1
I1 0.1119 0.2854 0.7501 1
I2 0.1440 0.2086 0.4174 1
I3 0.1504 0.2078 0.0827 1


2.
# HAu2I PBE optimized geometry
# M_tot = 0.080 μB/atom
# N(E_F) = 4.31 states/eV per cell
# ρ = 10998 kg/m3
# offset from the most stable computed form = 626.4 meV per atom
# volume = 78.8 Å³/f.u.
data_HAu2I
_chemical_formula_sum 'H4 Au8 I4'
_cell_length_a 6.8052
_cell_length_b 6.8052
_cell_length_c 6.8052
_cell_angle_alpha 90.00
_cell_angle_beta 90.00
_cell_angle_gamma 90.00
_symmetry_space_group_name_H-M 'F m -3 m'
_symmetry_Int_Tables_number 225
_symmetry_space_group_name_Hall '-F 4 2 3'
loop_
_atom_site_label
_atom_site_fract_x
_atom_site_fract_y
_atom_site_fract_z
_atom_site_occupancy
H1 0.0000 0.0000 0.0000 1
Au1 0.2500 0.2500 0.2500 1
I1 0.0000 0.0000 0.5000 1


3.
# H2AuI6 PBE optimized geometry
# M_tot = 0.000 μB/atom
# N(E_F) = 3.28 states/eV per cell
# uncorrected energy = -2.129 eV per atom
# ρ = 3776 kg/m3
# volume = 422.4 Å³/f.u.
data_H2AuI6
_chemical_formula_sum 'H8 Au4 I24'
_cell_length_a 10.1913
_cell_length_b 27.1051
_cell_length_c 6.1234
_cell_angle_alpha 90.00
_cell_angle_beta 92.72
_cell_angle_gamma 90.00
_symmetry_space_group_name_H-M 'C 1 2/c 1'
_symmetry_Int_Tables_number 15
_symmetry_space_group_name_Hall '-C 2yc'
loop_
_atom_site_label
_atom_site_fract_x
_atom_site_fract_y
_atom_site_fract_z
_atom_site_occupancy
H1 0.1976 0.0114 0.2162 1
Au1 0.0000 0.3013 0.2500 1
I1 0.1326 0.2216 0.1201 1
I2 0.1454 0.3687 0.0593 1
I3 0.2112 0.0539 0.4127 1